i | Entry from Alexandria: an optimized crystal structure of Tb2Dy3Er2 (GGA-PBE). Values from VASP.

Calculated values
As for the crystal system: triclinic. For the density of states at the Fermi level, the calculation gives 12.41 states/eV per cell.

Structure (Quantum ESPRESSO input):
```
&SYSTEM
  ibrav = 0, nat = 7, ntyp = 3
/
ATOMIC_SPECIES
Tb 158.93 Tb.upf
Dy 162.50 Dy.upf
Er 167.26 Er.upf
ATOMIC_POSITIONS angstrom
Tb 0.006 -0.001 1.834
Tb 1.759 2.716 9.709
Dy 0.005 2.714 6.357
Dy 1.755 2.713 0.000
Dy 1.760 0.001 5.187
Er 0.003 0.002 8.255
Er 1.762 2.713 3.289
CELL_PARAMETERS angstrom
3.510 0.000 0.000
0.000 5.427 0.000
-1.745 -2.712 11.544
```

=====

ii | Entry from Alexandria: an optimized crystal structure of Tb2Dy3Er2 (GGA-PBE). Values from VASP.

Calculated values
As for the crystal system: monoclinic. For the density of states at the Fermi level, the calculation gives 21.41 states/eV per cell.

Structure (Quantum ESPRESSO input):
```
&SYSTEM
  ibrav = 0, nat = 14, ntyp = 3
/
ATOMIC_SPECIES
Tb 158.93 Tb.upf
Dy 162.50 Dy.upf
Er 167.26 Er.upf
ATOMIC_POSITIONS angstrom
Tb -0.554 0.000 3.025
Tb 5.077 1.739 4.353
Tb 8.087 1.739 3.025
Tb 13.719 0.000 4.353
Dy 0.000 1.739 0.000
Dy 2.425 1.739 2.214
Dy 2.099 0.000 5.165
Dy 8.641 0.000 0.000
Dy 11.066 0.000 2.214
Dy 10.740 1.739 5.165
Er -0.857 1.739 6.105
Er 5.380 0.000 1.274
Er 7.785 0.000 6.105
Er 14.021 1.739 1.274
CELL_PARAMETERS angstrom
17.283 0.000 0.000
0.000 3.479 0.000
-4.118 0.000 7.379
```

=====

List of relative energies, unit meV/atom: i 0; ii 72

=====

i | Entry from Alexandria: an optimized crystal structure of Tb4DyEr5 (GGA-PBE). Values from VASP.

Calculated values
As for the crystal system: tetragonal. For the density of states at the Fermi level, the calculation gives 14.15 states/eV per cell.

Structure (Quantum ESPRESSO input):
```
&SYSTEM
  ibrav = 0, nat = 10, ntyp = 3
/
ATOMIC_SPECIES
Tb 158.93 Tb.upf
Dy 162.50 Dy.upf
Er 167.26 Er.upf
ATOMIC_POSITIONS angstrom
Tb 3.520 0.475 0.000
Tb 4.602 -1.557 3.100
Tb 0.475 6.634 0.000
Tb 1.557 4.602 3.100
Dy 0.000 0.000 4.769
Er 0.000 0.000 1.434
Er 6.573 2.736 -0.005
Er 2.736 3.581 -0.005
Er 2.341 1.496 3.095
Er -1.496 2.341 3.095
CELL_PARAMETERS angstrom
-5.077 5.077 3.100
5.077 -5.077 3.100
5.077 5.077 -3.100
```

=====

ii | Entry from Alexandria: an optimized crystal structure of Tb4DyEr5 (GGA-PBE). Values from VASP.

Calculated values
As for the crystal system: triclinic. For the density of states at the Fermi level, the calculation gives 17.51 states/eV per cell.

Structure (Quantum ESPRESSO input):
```
&SYSTEM
  ibrav = 0, nat = 10, ntyp = 3
/
ATOMIC_SPECIES
Tb 158.93 Tb.upf
Dy 162.50 Dy.upf
Er 167.26 Er.upf
ATOMIC_POSITIONS angstrom
Tb 0.062 0.753 4.203
Tb -0.256 0.589 9.778
Tb 1.747 3.823 3.917
Tb 1.429 3.659 9.492
Dy -1.020 2.206 6.847
Er 0.021 2.271 1.145
Er 0.073 5.736 1.555
Er 1.595 -1.032 6.847
Er 1.418 -1.323 12.139
Er 1.470 2.142 12.550
CELL_PARAMETERS angstrom
3.531 0.000 0.000
-1.700 6.477 0.000
-0.340 -2.064 13.695
```

=====

List of relative energies, unit meV/atom: i 249; ii 0

=====

i | Entry from Alexandria: an optimized crystal structure of TbDy12Er7 (GGA-PBE). Values from VASP.

Calculated values
As for the crystal system: trigonal. For the density of states at the Fermi level, the calculation gives 26.52 states/eV per cell.

Structure (Quantum ESPRESSO input):
```
&SYSTEM
  ibrav = 0, nat = 20, ntyp = 3
/
ATOMIC_SPECIES
Tb 158.93 Tb.upf
Dy 162.50 Dy.upf
Er 167.26 Er.upf
ATOMIC_POSITIONS angstrom
Tb 0.000 0.000 0.000
Dy -3.898 -0.010 1.849
Dy -0.581 -5.412 2.704
Dy -4.978 -2.203 3.925
Dy -4.396 3.209 2.704
Dy 1.958 -3.371 1.849
Dy 1.940 3.381 1.849
Dy -1.940 -3.381 4.779
Dy -1.958 3.371 4.779
Dy 4.396 -3.209 3.925
Dy 4.978 2.203 2.704
Dy 0.581 5.412 3.925
Dy 3.898 0.010 4.779
Er -1.298 -2.485 1.486
Er -1.504 2.367 1.486
Er 2.801 0.119 1.486
Er 0.000 0.000 3.314
Er -2.801 -0.119 5.143
Er 1.504 -2.367 5.143
Er 1.298 2.485 5.143
CELL_PARAMETERS angstrom
9.213 5.319 2.210
-9.213 5.319 2.210
0.000 -10.638 2.210
```

=====

ii | Entry from Alexandria: an optimized crystal structure of TbDy12Er7 (GGA-PBE). Values from VASP.

Calculated values
As for the crystal system: trigonal. For the density of states at the Fermi level, the calculation gives 17.95 states/eV per cell.

Structure (Quantum ESPRESSO input):
```
&SYSTEM
  ibrav = 0, nat = 20, ntyp = 3
/
ATOMIC_SPECIES
Tb 158.93 Tb.upf
Dy 162.50 Dy.upf
Er 167.26 Er.upf
ATOMIC_POSITIONS angstrom
Tb 0.000 0.000 0.000
Dy -1.704 -1.440 4.692
Dy -3.578 1.126 5.663
Dy -2.765 -2.535 7.900
Dy 0.814 -3.662 5.663
Dy -0.395 2.196 4.692
Dy 2.099 -0.755 4.692
Dy -2.099 0.755 8.871
Dy 0.395 -2.196 8.871
Dy -0.814 3.662 7.900
Dy 2.765 2.535 5.663
Dy 3.578 -1.126 7.900
Dy 1.704 1.440 8.871
Er -0.400 -2.206 2.046
Er -1.711 1.449 2.046
Er 2.110 0.757 2.046
Er 0.000 0.000 6.781
Er -2.110 -0.757 11.517
Er 1.711 -1.449 11.517
Er 0.400 2.206 11.517
CELL_PARAMETERS angstrom
6.358 3.671 4.521
-6.358 3.671 4.521
0.000 -7.342 4.521
```

=====

List of relative energies, unit meV/atom: i 30; ii 0